(1)
An optimized crystal structure of U2PaFe9, computed with PBE-GGA.

Unit cell a=4.7646 b=4.7646 c=25.2719 alpha=90.00 beta=90.00 gamma=120.00
Space group R-3m (No. 166, hexagonal axes)
Asymmetric unit:
U: 0.0000 0.0000 0.1448 (multiplicity 6)
Pa: 0.0000 0.0000 0.0000 (multiplicity 3)
Fe: 0.0000 0.0000 0.3323 (multiplicity 6)
Fe: 0.0000 0.0000 0.5000 (multiplicity 3)
Fe: 0.0011 0.5005 0.0817 (multiplicity 18)

DFT total energy = -9.09 eV per atom
energy relative to the elements = -0.072 eV/atom
magnetization = 12.08 μB per cell



(2)
An optimized crystal structure of PaV2Fe, computed with PBE-GGA.

Unit cell a=3.2097 b=3.2097 c=6.0338 alpha=90.00 beta=90.00 gamma=90.00
Space group P4/mmm (No. 123)
Asymmetric unit:
Pa: 0.0000 0.0000 0.0000 (multiplicity 1)
V: 0.5000 0.5000 0.2705 (multiplicity 2)
Fe: 0.0000 0.0000 0.5000 (multiplicity 1)

energy above the lowest structure with this stoichiometry = 130 meV per atom
DFT total energy = -8.79 eV per atom
energy relative to the elements = 0.263 eV/atom
magnetization = 0.85 μB per cell